# 1
VASP calculation (GGA-PBE) on an optimized crystal structure of Ca2LaCoBi.

## Properties
Its electronic total energy is -3.371 eV/atom. For the energy of formation, the calculation gives 612 meV per atom. The value obtained for the offset from the most stable computed form is 936.0 meV per atom. The density of states at the Fermi level comes out at 5.22 states/eV/cell.

CIF file:
```
data_Ca2LaCoBi
_chemical_formula_sum 'Ca2 La1 Co1 Bi1'
_symmetry_space_group_name_H-M 'P 4/m m m'
_symmetry_Int_Tables_number 123
_symmetry_space_group_name_Hall '-P 4 2'
_cell_length_a 6.103
_cell_length_b 6.103
_cell_length_c 4.416
_cell_angle_alpha 90.00
_cell_angle_beta 90.00
_cell_angle_gamma 90.00
loop_
_atom_site_label
_atom_site_type_symbol
_atom_site_fract_x
_atom_site_fract_y
_atom_site_fract_z
_atom_site_occupancy
Ca1 Ca 0.000 0.500 0.000 1
La1 La 0.000 0.000 0.000 1
Co1 Co 0.000 0.000 0.500 1
Bi1 Bi 0.500 0.500 0.500 1
```

***

# 2
VASP calculation (GGA-PBE) on an optimized crystal structure of Na3ZrTa.

## Properties
Its electronic total energy is -2.825 eV/atom. For the energy of formation, the calculation gives 2047 meV per atom. The value obtained for the offset from the most stable computed form is 0.0 meV per atom. The density of states at the Fermi level comes out at 9.77 states/eV/cell.

CIF file:
```
data_Na3ZrTa
_chemical_formula_sum 'Na3 Zr1 Ta1'
_symmetry_space_group_name_H-M 'P m -3 m'
_symmetry_Int_Tables_number 221
_symmetry_space_group_name_Hall '-P 4 2 3'
_cell_length_a 5.549
_cell_length_b 5.549
_cell_length_c 5.549
_cell_angle_alpha 90.00
_cell_angle_beta 90.00
_cell_angle_gamma 90.00
loop_
_atom_site_label
_atom_site_type_symbol
_atom_site_fract_x
_atom_site_fract_y
_atom_site_fract_z
_atom_site_occupancy
Na1 Na 0.000 0.000 0.500 1
Zr1 Zr 0.500 0.500 0.500 1
Ta1 Ta 0.000 0.000 0.000 1
```

***

# 3
VASP calculation (GGA-PBE) on an optimized crystal structure of Be3AlAs.

## Properties
Its electronic total energy is -3.044 eV/atom. For the energy of formation, the calculation gives 870 meV per atom. The value obtained for the offset from the most stable computed form is 0.0 meV per atom. The density of states at the Fermi level comes out at 1.33 states/eV/cell.

CIF file:
```
data_Be3AlAs
_chemical_formula_sum 'Be3 Al1 As1'
_symmetry_space_group_name_H-M 'P m -3 m'
_symmetry_Int_Tables_number 221
_symmetry_space_group_name_Hall '-P 4 2 3'
_cell_length_a 4.300
_cell_length_b 4.300
_cell_length_c 4.300
_cell_angle_alpha 90.00
_cell_angle_beta 90.00
_cell_angle_gamma 90.00
loop_
_atom_site_label
_atom_site_type_symbol
_atom_site_fract_x
_atom_site_fract_y
_atom_site_fract_z
_atom_site_occupancy
Be1 Be 0.000 0.000 0.500 1
Al1 Al 0.500 0.500 0.500 1
As1 As 0.000 0.000 0.000 1
```

***

# 4
VASP calculation (GGA-PBE) on an optimized crystal structure of PmPr4Er8.

## Properties
Its electronic total energy is -4.115 eV/atom. For the energy of formation, the calculation gives 529 meV per atom. The density of states at the Fermi level comes out at 67.87 states/eV/cell.

CIF file:
```
data_PmPr4Er8
_chemical_formula_sum 'Pm3 Pr12 Er24'
_symmetry_space_group_name_H-M 'R -3 m'
_symmetry_Int_Tables_number 166
_symmetry_space_group_name_Hall '-R 3 2"'
_cell_length_a 11.0776
_cell_length_b 11.0776
_cell_length_c 13.5146
_cell_angle_alpha 90.00
_cell_angle_beta 90.00
_cell_angle_gamma 120.00
loop_
_atom_site_label
_atom_site_type_symbol
_atom_site_fract_x
_atom_site_fract_y
_atom_site_fract_z
_atom_site_occupancy
Pm1 Pm 0.0000 0.0000 0.0000 1
Pr1 Pr 0.0000 0.0000 0.5000 1
Pr2 Pr 0.0000 0.5000 0.5000 1
Er1 Er 0.0000 0.0000 0.2605 1
Er2 Er 0.0136 0.5068 0.2457 1
```

***

- The lowest energy of formation belongs to which entry?
  PmPr4Er8

***

- electronic total energy of number 3 (Be3AlAs)?
  -3.044 eV/atom

***

- Number 4 is which compound?
  PmPr4Er8

***

- energy of formation of number 3 (Be3AlAs)?
  870 meV per atom